The following is a PBE-GGA calculation of a geometry-optimized LiLaNpN3 structure, from Alexandria.

The calculation puts the uncorrected formation energy at -6.32 eV/f.u. Its magnetization is 0.320 μB per atom. The value obtained for the density of states at the Fermi level is 0.741 states/eV per atom.

The structure belongs to space group P2_1/m (No. 11); the cell edges are 7.062, 3.535 and 7.232 Å and the angles 90.00°, 105.21° and 90.00°. The asymmetric unit holds Li at (0.088, 0.250, 0.074), La at (0.275, 0.750, 0.812), Np at (0.330, 0.750, 0.324), N at (0.037, 0.750, 0.205), N at (0.368, 0.250, 0.571) and N at (0.369, 0.250, 0.123).